{
  "formula": "La4Nd3Co2",
  "functional": "PBE",
  "state": "relaxed",
  "ef_ev_per_atom": -0.0258,
  "e_tot_ev_per_atom": -5.38,
  "cell": [[5.534, 0.000, 0.000], [-2.762, 6.180, 0.000], [-0.002, -0.892, 8.404]],
  "species": ["La", "La", "La", "La", "Nd", "Nd", "Nd", "Co", "Co"],
  "fractional_positions": [[0.147, 0.296, 0.429], [0.285, 0.568, 0.877], [0.715, 0.432, 0.123], [0.853, 0.704, 0.571], [0.000, 0.000, 0.000], [0.430, 0.860, 0.283], [0.570, 0.140, 0.717], [0.357, 0.713, 0.591], [0.643, 0.287, 0.409]]
}